The following is a GGA-PBE calculation of a relaxed structure of Er2PuH8, from Alexandria via LeMat-Bulk. Values from VASP.

VASP energy = -5.130 eV per atom
Calculated density = 9.6 g cm⁻³
Space group = Immm

The structure in Quantum ESPRESSO input format:
```
&SYSTEM
  ibrav = 0, nat = 11, ntyp = 3
/
ATOMIC_SPECIES
Pu 244.00 Pu.upf
H 1.01 H.upf
Er 167.26 Er.upf
CELL_PARAMETERS angstrom
-1.9746 -2.1793 -2.0523
4.3402 -2.6843 -1.3255
-1.9274 -0.8434 5.8831
ATOMIC_POSITIONS angstrom
Pu -0.9873 -1.0896 -1.0261
H 1.2091 -0.7478 -0.3692
Er 1.9151 -2.4638 0.7738
H -1.5171 -1.5792 3.1365
H 1.9552 -4.1277 -0.6312
H 0.6692 -4.6907 1.2040
H -0.2311 -1.0162 1.3014
Er -1.4769 -3.2431 1.7316
H 0.5135 -2.8350 2.5164
H -0.0753 -2.8719 -0.0110
H -0.7709 -4.9591 2.8746
```